[1]
Below is RbRuBr3 after structural relaxation, with properties calculated at the PBE level.

a b c (Å): 5.2258 5.2258 5.2258
angles (deg): 90.00 90.00 90.00
Atoms (fractional coordinates):
Br  0.0000  0.5000  0.0000
Br  0.0000  0.0000  0.5000
Br  0.5000  0.0000  0.0000
Ru  0.0000  0.0000  0.0000
Rb  0.5000  0.5000  0.5000

Properties
space-group type: Pm-3m (221)
E_tot: -3.63 eV per atom

[2]
Below is Li2Cd2Rh after structural relaxation, with properties calculated at the PBE level.

a b c (Å): 7.2371 7.2371 3.2798
angles (deg): 90.00 90.00 90.00
Atoms (fractional coordinates):
Li  0.8378  0.3378  0.5000
Li  0.6622  0.8378  0.5000
Li  0.3378  0.1622  0.5000
Li  0.1622  0.6622  0.5000
Cd  0.1436  0.3564  0.0000
Cd  0.6436  0.1436  0.0000
Cd  0.8564  0.6436  0.0000
Cd  0.3564  0.8564  0.0000
Rh  0.5000  0.5000  0.0000
Rh  0.0000  0.0000  0.0000

Properties
space-group type: P4/mbm (127)
calculated formation energy: -0.02 eV per atom
E above lowest polymorph: 210 meV/atom

[3]
Below is NiAsSe2 after structural relaxation, with properties calculated at the PBE level.

a b c (Å): 4.5559 4.5583 4.5579
angles (deg): 71.15 69.28 108.83
Atoms (fractional coordinates):
Se  0.5000  0.0000  0.5000
Se  0.0000  0.0000  0.0000
As  0.0000  0.5000  0.5000
Ni  0.5000  0.5000  0.0000

Properties
space-group type: I4/mmm (139)
E_tot: -4.28 eV per atom

[4]
Below is Li2CrRe after structural relaxation, with properties calculated at the PBE level.

a b c (Å): 2.4693 4.0686 5.6316
angles (deg): 90.00 90.00 90.00
Atoms (fractional coordinates):
Cr  0.5000  0.5000  0.7184
Li  0.5000  0.5000  0.2394
Li  0.0000  0.0000  0.0131
Re  0.0000  0.0000  0.5291

Properties
space-group type: Pmm2 (25)
calculated formation energy: 0.37 eV per atom
E above lowest polymorph: 118 meV/atom

Repeat the fourth record exactly.
Below is Li2CrRe after structural relaxation, with properties calculated at the PBE level.

a b c (Å): 2.4693 4.0686 5.6316
angles (deg): 90.00 90.00 90.00
Atoms (fractional coordinates):
Cr  0.5000  0.5000  0.7184
Li  0.5000  0.5000  0.2394
Li  0.0000  0.0000  0.0131
Re  0.0000  0.0000  0.5291

Properties
space-group type: Pmm2 (25)
calculated formation energy: 0.37 eV per atom
E above lowest polymorph: 118 meV/atom

Number 2 is which compound?
Li2Cd2Rh

Which formula does entry 4 have?
Li2CrRe